A plane-wave DFT calculation with PBE-GGA was carried out for a relaxed PuCd crystal.

Results
Magnetization (μB per cell): 6.16
Raw total energy (eV/atom): -6.532
Mass density (g cm⁻³): 6.83
Formation energy (eV/atom): 0.979

```
PuCd
1.0
-4.333 -2.051 1.297
-2.501 1.748 3.918
-4.234 2.506 -0.673
Pu Cd
1 1
Cartesian
-2.767 0.551 1.135 Pu
0.000 0.000 0.000 Cd
```



A plane-wave DFT calculation with PBE-GGA was carried out for a relaxed RbPuCd crystal.

Results
Magnetization (μB per cell): 7.08
Raw total energy (eV/atom): -4.382
Mass density (g cm⁻³): 5.57
Distance to the lowest polymorph of the same formula (eV/atom): 0.360

```
RbPuCd
1.0
0.000 4.038 4.038
4.038 0.000 4.038
4.038 4.038 0.000
Rb Pu Cd
1 1 1
Cartesian
0.000 0.000 0.000 Rb
6.056 6.056 6.056 Pu
2.019 2.019 2.019 Cd
```



A plane-wave DFT calculation with PBE-GGA was carried out for a relaxed RbPuCd crystal.

Results
Magnetization (μB per cell): 6.89
Raw total energy (eV/atom): -4.742
Mass density (g cm⁻³): 5.73
Distance to the lowest polymorph of the same formula (eV/atom): 0.000

```
RbPuCd
1.0
-4.999 1.068 2.425
-3.355 4.044 -2.098
-4.792 -1.399 -2.662
Pu Cd Rb
1 1 1
Cartesian
-3.287 0.928 -0.584 Pu
0.000 0.000 0.000 Cd
-9.860 2.784 -1.751 Rb
```



A plane-wave DFT calculation with PBE-GGA was carried out for a relaxed PuCdSb2 crystal.

Results
Magnetization (μB per cell): 5.27
Raw total energy (eV/atom): -6.257
Mass density (g cm⁻³): 10.05

```
PuCdSb2
1.0
-3.553 -0.563 -3.218
1.060 -4.696 -0.349
-2.723 -0.849 3.155
Sb Pu Cd
2 1 1
Cartesian
0.530 -2.348 -0.174 Sb
-1.776 -0.282 -1.609 Sb
-2.608 -3.054 -0.206 Pu
-1.362 -0.425 1.577 Cd
```



> Which value of raw total energy does entry 2 give?

-4.382 eV/atom



> Among the records above, which one has the highest mass density?

PuCdSb2



Please write out number 3 again, unchanged.
A plane-wave DFT calculation with PBE-GGA was carried out for a relaxed RbPuCd crystal.

Results
Magnetization (μB per cell): 6.89
Raw total energy (eV/atom): -4.742
Mass density (g cm⁻³): 5.73
Distance to the lowest polymorph of the same formula (eV/atom): 0.000

```
RbPuCd
1.0
-4.999 1.068 2.425
-3.355 4.044 -2.098
-4.792 -1.399 -2.662
Pu Cd Rb
1 1 1
Cartesian
-3.287 0.928 -0.584 Pu
0.000 0.000 0.000 Cd
-9.860 2.784 -1.751 Rb
```



> What is the formula in the fourth record?

PuCdSb2